NaInGe2O6 | PBE-GGA | relaxed

a b c (Å): 5.283 7.086 7.086
angles (deg): 88.75 82.93 82.93
Sites, in units of the cell vectors:
1 O 0.590 0.416 0.292
2 O 0.656 0.768 0.981
3 O 0.090 0.292 0.416
4 O 0.410 0.584 0.708
5 O 0.910 0.708 0.584
6 O 0.117 0.611 0.161
7 O 0.344 0.232 0.019
8 O 0.617 0.161 0.611
9 O 0.383 0.839 0.389
10 O 0.156 0.981 0.768
11 O 0.844 0.019 0.232
12 O 0.883 0.389 0.839
13 Na 0.250 0.914 0.086
14 Na 0.750 0.086 0.914
15 In 0.750 0.727 0.273
16 In 0.250 0.273 0.727
17 Ge 0.722 0.610 0.793
18 Ge 0.778 0.207 0.390
19 Ge 0.222 0.793 0.610
20 Ge 0.278 0.390 0.207

raw formation energy = -1.6515 eV/atom
total DFT energy (no corrections) = -5.96 eV per atom